Entry 1:
A plane-wave DFT calculation with PBE was carried out for a relaxed Nd7Tm5 crystal. Values from VASP.

Cell and atoms, written as Quantum ESPRESSO input:
```
&SYSTEM
  ibrav = 0, nat = 12, ntyp = 2
/
ATOMIC_SPECIES
Tm 168.93 Tm.upf
Nd 144.24 Nd.upf
ATOMIC_POSITIONS angstrom
Tm 2.878 2.151 7.919
Tm 0.000 0.000 0.000
Tm 0.000 0.364 6.356
Tm 2.878 -0.748 11.638
Tm 0.000 3.262 2.637
Nd 0.000 -0.003 3.080
Nd 2.878 1.618 1.077
Nd 2.878 2.517 11.195
Nd 2.878 1.816 4.633
Nd 0.000 0.896 13.198
Nd 0.000 0.698 9.642
Nd 2.878 -1.171 7.315
CELL_PARAMETERS angstrom
5.755 0.000 0.000
-2.878 4.856 -0.355
0.000 -2.341 14.630
```

SG ... C2/m, No. 12
Size of the total moment ... 0.00 μB per formula unit
E_tot ... -53.788 eV for the cell shown
Offset from the most stable computed form ... 0.1512 eV per atom
Energy of formation ... 0.162 eV per atom



Entry 2:
A plane-wave DFT calculation with PBE was carried out for a relaxed Pa2AgSn crystal. Values from VASP.

Cell and atoms, written as Quantum ESPRESSO input:
```
&SYSTEM
  ibrav = 0, nat = 4, ntyp = 3
/
ATOMIC_SPECIES
Pa 231.04 Pa.upf
Ag 107.87 Ag.upf
Sn 118.71 Sn.upf
ATOMIC_POSITIONS angstrom
Pa -1.271 -4.348 0.587
Pa -0.400 -1.370 0.185
Ag -1.184 -3.141 -2.462
Sn -0.348 -0.282 -2.848
CELL_PARAMETERS angstrom
-3.096 0.555 -2.595
2.399 -1.119 -3.101
-1.671 -5.718 0.771
```

SG ... P4/mmm, No. 123
Size of the total moment ... 1.88 μB per formula unit
E_tot ... -25.556 eV for the cell shown
Offset from the most stable computed form ... 0.1138 eV per atom
Energy of formation ... 0.073 eV per atom



Entry 3:
A plane-wave DFT calculation with PBE was carried out for a relaxed Y4Er2N crystal. Values from VASP.

Cell and atoms, written as Quantum ESPRESSO input:
```
&SYSTEM
  ibrav = 0, nat = 7, ntyp = 3
/
ATOMIC_SPECIES
Y 88.91 Y.upf
N 14.01 N.upf
Er 167.26 Er.upf
ATOMIC_POSITIONS angstrom
Y 2.390 2.390 6.467
Y 0.000 2.390 0.000
Y 4.779 4.779 2.365
Y 2.390 0.000 0.000
N 0.000 0.000 0.000
Er 2.390 2.390 2.972
Er 4.779 4.779 5.860
CELL_PARAMETERS angstrom
4.779 0.000 0.000
0.000 4.779 0.000
2.390 2.390 8.832
```

SG ... I4/mmm, No. 139
Size of the total moment ... 0.00 μB per formula unit
Formation energy from raw total energies ... -1.71 eV/f.u.
E_tot ... -45.013 eV for the cell shown



Entry 4:
A plane-wave DFT calculation with PBE was carried out for a relaxed Y2TcHg crystal. Values from VASP.

Cell and atoms, written as Quantum ESPRESSO input:
```
&SYSTEM
  ibrav = 0, nat = 4, ntyp = 3
/
ATOMIC_SPECIES
Y 88.91 Y.upf
Hg 200.59 Hg.upf
Tc 98.00 Tc.upf
ATOMIC_POSITIONS angstrom
Y -0.318 -0.129 0.141
Y -3.483 0.292 -0.778
Hg -4.238 -1.712 1.880
Tc -2.446 0.493 2.085
CELL_PARAMETERS angstrom
-5.703 -2.086 -0.792
-3.406 -1.594 4.833
3.178 4.465 -2.733
```

SG ... Imm2, No. 44
Size of the total moment ... 0.00 μB per formula unit
E_tot ... -23.668 eV for the cell shown
Energy of formation ... -0.018 eV per atom



Entry 5:
A plane-wave DFT calculation with PBE was carried out for a relaxed La3InCo crystal. Values from VASP.

Cell and atoms, written as Quantum ESPRESSO input:
```
&SYSTEM
  ibrav = 0, nat = 20, ntyp = 3
/
ATOMIC_SPECIES
La 138.91 La.upf
In 114.82 In.upf
Co 58.93 Co.upf
ATOMIC_POSITIONS angstrom
La 5.297 5.955 2.851
La 13.997 0.577 3.545
La 2.267 6.200 0.724
La 0.002 2.126 1.786
La 10.968 0.822 1.417
La 21.640 4.210 1.834
La 5.865 2.812 1.411
La -0.081 5.515 3.500
La 10.399 3.965 2.858
La 16.262 4.651 2.483
La -5.376 2.567 2.435
La 16.345 1.262 0.769
In 2.791 3.624 2.778
In 19.135 6.542 1.761
In -2.870 0.235 2.508
In 13.473 3.153 1.490
Co -0.741 5.862 0.888
Co 8.873 2.473 1.247
Co 17.005 0.915 3.381
Co 7.391 4.304 3.022
CELL_PARAMETERS angstrom
24.475 0.000 1.117
0.000 6.777 0.000
-8.211 0.000 3.152
```

SG ... P2_1/c, No. 14
Size of the total moment ... 0.00 μB per formula unit
E_tot ... -103.081 eV for the cell shown
Offset from the most stable computed form ... 0.0629 eV per atom
Energy of formation ... -0.229 eV per atom



Entry 6:
A plane-wave DFT calculation with PBE was carried out for a relaxed NaSr2In crystal. Values from VASP.

Cell and atoms, written as Quantum ESPRESSO input:
```
&SYSTEM
  ibrav = 0, nat = 4, ntyp = 3
/
ATOMIC_SPECIES
Sr 87.62 Sr.upf
Na 22.99 Na.upf
In 114.82 In.upf
ATOMIC_POSITIONS angstrom
Sr 4.907 4.735 2.750
Sr 1.294 1.249 0.725
Na 2.426 2.122 4.439
In -0.675 -0.870 2.702
CELL_PARAMETERS angstrom
-2.740 1.186 2.848
1.390 -2.925 2.556
6.202 5.983 3.475
```

SG ... P4/mmm, No. 123
Size of the total moment ... 0.00 μB per formula unit
E_tot ... -8.351 eV for the cell shown
Energy of formation ... -0.233 eV per atom



Entry 7:
A plane-wave DFT calculation with PBE was carried out for a relaxed Pa2AlGe crystal. Values from VASP.

Cell and atoms, written as Quantum ESPRESSO input:
```
&SYSTEM
  ibrav = 0, nat = 4, ntyp = 3
/
ATOMIC_SPECIES
Pa 231.04 Pa.upf
Ge 72.64 Ge.upf
Al 26.98 Al.upf
ATOMIC_POSITIONS angstrom
Pa 0.000 0.000 6.401
Pa 0.000 0.000 2.083
Ge 1.602 1.602 0.000
Al 1.602 1.602 4.242
CELL_PARAMETERS angstrom
3.204 0.000 0.000
0.000 3.204 0.000
0.000 0.000 8.484
```

SG ... P4/mmm, No. 123
Size of the total moment ... 0.37 μB per formula unit
E_tot ... -28.257 eV for the cell shown
Offset from the most stable computed form ... 0.0313 eV per atom
Energy of formation ... -0.226 eV per atom